Below is NbVRu2 after structural relaxation, with properties calculated at the PBE level.

a = 4.2706 Å, b = 4.2706 Å, c = 3.2946 Å
α = 90.00°, β = 90.00°, γ = 90.00°
Closest atoms and distances in Å follow each position.
Sites, in units of the cell vectors:
Nb: 0.0000 0.0000 0.0000  8 Ru 2.70, 4 V 3.02
V: 0.5000 0.5000 0.0000  8 Ru 2.70, 4 Nb 3.02
Ru: 0.0000 0.5000 0.5000  4 V 2.70, 4 Nb 2.70, 4 Ru 3.02
Ru: 0.5000 0.0000 0.5000  4 V 2.70, 4 Nb 2.70, 4 Ru 3.02

Values from the calculation:
- DFT total energy: -0.353 hartree per atom
- Density: 9.6 Mg/m³
- E_form: -0.174 eV/atom
- DOS at the Fermi energy: 5.63 states/eV/f.u.
- Spin magnetization: 1.37 μB/f.u.

---

Below is NbVRu3 after structural relaxation, with properties calculated at the PBE level.

a = 4.4084 Å, b = 4.4084 Å, c = 4.4084 Å
α = 90.00°, β = 90.00°, γ = 90.00°
Closest atoms and distances in Å follow each position.
Sites, in units of the cell vectors:
Nb: 0.0000 0.0000 0.0000  12 Ru 3.12
V: 0.5000 0.5000 0.5000  6 Ru 2.20
Ru: 0.0000 0.5000 0.5000  2 V 2.20
Ru: 0.5000 0.0000 0.5000  2 V 2.20
Ru: 0.5000 0.5000 0.0000  2 V 2.20

Values from the calculation:
- DFT total energy: -0.313 hartree per atom
- Density: 8.7 Mg/m³
- E_form: 0.888 eV/atom
- Polymorph energy (0 for the lowest one): 1.017 eV/atom
- DOS at the Fermi energy: 5.77 states/eV/f.u.
- Spin magnetization: 0.31 μB/f.u.

---

Below is Nb6VRu after structural relaxation, with properties calculated at the PBE level.

a = 5.7606 Å, b = 5.7606 Å, c = 5.7606 Å
α = 110.60°, β = 110.60°, γ = 110.60°
Closest atoms and distances in Å follow each position.
Sites, in units of the cell vectors:
Nb: 0.2490 0.7493 0.7493  6 Nb 2.71-2.88, 1 Ru 2.77, 1 V 2.77
Nb: 0.2507 0.2507 0.7510  6 Nb 2.71-2.88, 1 Ru 2.77, 1 V 2.77
Nb: 0.2507 0.7510 0.2507  6 Nb 2.71-2.88, 1 Ru 2.77, 1 V 2.77
Nb: 0.7493 0.2490 0.7493  6 Nb 2.71-2.88, 1 Ru 2.77, 1 V 2.77
Nb: 0.7493 0.7493 0.2490  6 Nb 2.71-2.88, 1 Ru 2.77, 1 V 2.77
Nb: 0.7510 0.2507 0.2507  6 Nb 2.71-2.88, 1 Ru 2.77, 1 V 2.77
V: 0.5000 0.5000 0.5000  2 Ru 2.72, 6 Nb 2.77
Ru: 0.0000 0.0000 0.0000  2 V 2.72, 6 Nb 2.77

Values from the calculation:
- DFT total energy: -0.358 hartree per atom
- Density: 8.4 Mg/m³
- E_form: 0.115 eV/atom
- Polymorph energy (0 for the lowest one): 0.242 eV/atom
- DOS at the Fermi energy: 8.48 states/eV/f.u.
- Spin magnetization: 0.00 μB/f.u.

---

Below is Nb7V2Ru2 after structural relaxation, with properties calculated at the PBE level.

a = 5.3512 Å, b = 5.3512 Å, c = 7.2115 Å
α = 99.50°, β = 99.50°, γ = 108.78°
Closest atoms and distances in Å follow each position.
Sites, in units of the cell vectors:
Nb: 0.0000 0.0000 0.0000  2 V 2.43
Nb: 0.0935 0.4848 0.8191  1 V 2.58, 1 Ru 2.61
Nb: 0.1680 0.1680 0.4263  1 Nb 2.60, 1 V 2.64, 4 Ru 2.73-2.80
Nb: 0.4848 0.0935 0.8191  1 V 2.58, 1 Ru 2.61
Nb: 0.5152 0.9065 0.1809  1 V 2.58, 1 Ru 2.61
Nb: 0.8320 0.8320 0.5737  1 Nb 2.60, 1 V 2.64, 4 Ru 2.73-2.80
Nb: 0.9065 0.5152 0.1809  1 V 2.58, 1 Ru 2.61
V: 0.3966 0.3966 0.1691  4 Nb 2.43-2.64
V: 0.6034 0.6034 0.8309  4 Nb 2.43-2.64
Ru: 0.2854 0.7146 0.5000  6 Nb 2.61-2.80
Ru: 0.7146 0.2854 0.5000  6 Nb 2.61-2.80

Values from the calculation:
- DFT total energy: -0.357 hartree per atom
- Density: 8.5 Mg/m³
- E_form: 0.028 eV/atom
- DOS at the Fermi energy: 11.85 states/eV/f.u.
- Spin magnetization: 0.00 μB/f.u.

---

- Among the records above, which one has the highest E_form?
  NbVRu3

---

Copy entry 4 word for word.
Below is Nb7V2Ru2 after structural relaxation, with properties calculated at the PBE level.

a = 5.3512 Å, b = 5.3512 Å, c = 7.2115 Å
α = 99.50°, β = 99.50°, γ = 108.78°
Closest atoms and distances in Å follow each position.
Sites, in units of the cell vectors:
Nb: 0.0000 0.0000 0.0000  2 V 2.43
Nb: 0.0935 0.4848 0.8191  1 V 2.58, 1 Ru 2.61
Nb: 0.1680 0.1680 0.4263  1 Nb 2.60, 1 V 2.64, 4 Ru 2.73-2.80
Nb: 0.4848 0.0935 0.8191  1 V 2.58, 1 Ru 2.61
Nb: 0.5152 0.9065 0.1809  1 V 2.58, 1 Ru 2.61
Nb: 0.8320 0.8320 0.5737  1 Nb 2.60, 1 V 2.64, 4 Ru 2.73-2.80
Nb: 0.9065 0.5152 0.1809  1 V 2.58, 1 Ru 2.61
V: 0.3966 0.3966 0.1691  4 Nb 2.43-2.64
V: 0.6034 0.6034 0.8309  4 Nb 2.43-2.64
Ru: 0.2854 0.7146 0.5000  6 Nb 2.61-2.80
Ru: 0.7146 0.2854 0.5000  6 Nb 2.61-2.80

Values from the calculation:
- DFT total energy: -0.357 hartree per atom
- Density: 8.5 Mg/m³
- E_form: 0.028 eV/atom
- DOS at the Fermi energy: 11.85 states/eV/f.u.
- Spin magnetization: 0.00 μB/f.u.

---

- Look up the DOS at the Fermi energy of the third one.
  8.48 states/eV/f.u.